[1]
Density functional theory data (PBE) for a relaxed structure of Y2Sn5Ru3.

Space-group type ... Cmc2_1, No. 36
Energy relative to the elements ... -0.4135 eV per atom

Cell: 13.480 13.480 7.208 Å, 90.00 90.00 161.01°
Fractional positions:
Y: 0.022 0.978 0.500
Y: 0.326 0.674 0.509
Y: 0.674 0.326 0.009
Y: 0.978 0.022 0.000
Sn: 0.097 0.903 0.868
Sn: 0.206 0.794 0.300
Sn: 0.209 0.791 0.728
Sn: 0.379 0.621 0.003
Sn: 0.451 0.549 0.669
Sn: 0.549 0.451 0.169
Sn: 0.621 0.379 0.503
Sn: 0.791 0.209 0.228
Sn: 0.794 0.206 0.800
Sn: 0.903 0.097 0.368
Ru: 0.106 0.894 0.245
Ru: 0.276 0.724 0.016
Ru: 0.451 0.549 0.283
Ru: 0.549 0.451 0.783
Ru: 0.724 0.276 0.516
Ru: 0.894 0.106 0.745


[2]
Density functional theory data (PBE) for a relaxed structure of Y3Sn3Ru2.

Space-group type ... Pnma, No. 62
Energy relative to the elements ... -0.5630 eV per atom

Cell: 8.361 15.296 5.870 Å, 90.00 90.00 90.00°
Fractional positions:
Y: 0.035 0.112 0.103
Y: 0.035 0.388 0.103
Y: 0.177 0.250 0.633
Y: 0.323 0.750 0.133
Y: 0.465 0.612 0.603
Y: 0.465 0.888 0.603
Y: 0.535 0.112 0.397
Y: 0.535 0.388 0.397
Y: 0.677 0.250 0.867
Y: 0.823 0.750 0.367
Y: 0.965 0.612 0.897
Y: 0.965 0.888 0.897
Sn: 0.171 0.750 0.629
Sn: 0.182 0.035 0.602
Sn: 0.182 0.465 0.602
Sn: 0.318 0.535 0.102
Sn: 0.318 0.965 0.102
Sn: 0.329 0.250 0.129
Sn: 0.671 0.750 0.871
Sn: 0.682 0.035 0.898
Sn: 0.682 0.465 0.898
Sn: 0.818 0.535 0.398
Sn: 0.818 0.965 0.398
Sn: 0.829 0.250 0.371
Ru: 0.099 0.610 0.361
Ru: 0.099 0.890 0.361
Ru: 0.401 0.110 0.861
Ru: 0.401 0.390 0.861
Ru: 0.599 0.610 0.139
Ru: 0.599 0.890 0.139
Ru: 0.901 0.110 0.639
Ru: 0.901 0.390 0.639


- Among the records above, which one has the lowest energy relative to the elements?
  Y3Sn3Ru2


Copy entry 1 word for word.
Density functional theory data (PBE) for a relaxed structure of Y2Sn5Ru3.

Space-group type ... Cmc2_1, No. 36
Energy relative to the elements ... -0.4135 eV per atom

Cell: 13.480 13.480 7.208 Å, 90.00 90.00 161.01°
Fractional positions:
Y: 0.022 0.978 0.500
Y: 0.326 0.674 0.509
Y: 0.674 0.326 0.009
Y: 0.978 0.022 0.000
Sn: 0.097 0.903 0.868
Sn: 0.206 0.794 0.300
Sn: 0.209 0.791 0.728
Sn: 0.379 0.621 0.003
Sn: 0.451 0.549 0.669
Sn: 0.549 0.451 0.169
Sn: 0.621 0.379 0.503
Sn: 0.791 0.209 0.228
Sn: 0.794 0.206 0.800
Sn: 0.903 0.097 0.368
Ru: 0.106 0.894 0.245
Ru: 0.276 0.724 0.016
Ru: 0.451 0.549 0.283
Ru: 0.549 0.451 0.783
Ru: 0.724 0.276 0.516
Ru: 0.894 0.106 0.745


- Look up the energy relative to the elements of the first one.
  -0.4135 eV per atom


- Which of these has the highest energy relative to the elements?
  Y2Sn5Ru3